An optimized crystal structure of ZrAs2, computed with PBE.

Calculated values
As for the formation energy from the elements: -0.626 eV per atom. The energy is -6.575 eV per atom. For the volume, the calculation gives 57.1 Å³/f.u. The density of states at the Fermi level is 2.03 states/eV/f.u. The size of the total moment comes out at 0.0000 μB/atom.

a = 7.287 Å, b = 7.287 Å, c = 4.505 Å
α = 90.00°, β = 90.00°, γ = 151.46°
Sites, in units of the cell vectors:
1 Zr 0.103 0.897 0.750
2 Zr 0.897 0.103 0.250
3 As 0.242 0.758 0.250
4 As 0.442 0.558 0.750
5 As 0.558 0.442 0.250
6 As 0.758 0.242 0.750